Entry 1:
TaTc2Ir | SCAN | PBEsol geometry

The mass density comes out at 15.91 g/cm³. Its space group is No. 139. For the density of states at the Fermi level, the calculation gives 3.555 states/eV/cell. The formation energy comes out at -256 meV per atom.

POSCAR file:
```
TaTc2Ir
1.0
-1.928 1.928 3.994
1.928 -1.928 3.994
1.928 1.928 -3.994
Ta Tc Ir
1 2 1
direct
0.000 0.000 0.000
0.250 0.750 0.500
0.750 0.250 0.500
0.500 0.500 0.000
```

Entry 2:
BaLi2AlS | SCAN | PBEsol geometry

The mass density comes out at 2.72 g/cm³. The formation energy from raw total energies is -1.76 eV/f.u. Its space group is No. 123. For the density of states at the Fermi level, the calculation gives 3.415 states/eV/cell.

POSCAR file:
```
BaLi2AlS
1.0
4.798 0.000 0.000
0.000 4.798 0.000
0.000 0.000 5.580
Ba Li Al S
1 2 1 1
direct
0.000 0.000 0.000
0.000 0.500 0.500
0.500 0.000 0.500
0.500 0.500 0.000
0.500 0.500 0.500
```

Entry 3:
Ga2Co2Ni | SCAN | PBEsol geometry

The mass density comes out at 7.96 g/cm³. Its space group is No. 139. For the density of states at the Fermi level, the calculation gives 1.733 states/eV/cell. The formation energy comes out at 367 meV per atom.

POSCAR file:
```
Ga2Co2Ni
1.0
-1.736 1.736 5.467
1.736 -1.736 5.467
1.736 1.736 -5.467
Ga Co Ni
2 2 1
direct
0.250 0.750 0.500
0.750 0.250 0.500
0.098 0.098 0.000
0.902 0.902 0.000
0.500 0.500 0.000
```

Entry 4:
Cd5Cu | SCAN | PBEsol geometry

The mass density comes out at 9.19 g/cm³. Its space group is No. 38. For the density of states at the Fermi level, the calculation gives 1.357 states/eV/cell. The formation energy comes out at 53 meV per atom.

POSCAR file:
```
Cd5Cu
1.0
4.635 0.000 0.000
0.000 1.539 7.923
0.000 -1.539 7.923
Cd Cu
5 1
direct
0.000 0.000 0.000
0.000 0.312 0.312
0.500 0.205 0.205
0.500 0.550 0.550
0.500 0.880 0.880
0.000 0.657 0.657
```

Entry 5:
AgAs2Se | SCAN | PBEsol geometry

The mass density comes out at 7.17 g/cm³. The formation energy from raw total energies is 1.31 eV/f.u. Its space group is No. 71. For the density of states at the Fermi level, the calculation gives 1.998 states/eV/cell.

POSCAR file:
```
AgAs2Se
1.0
-1.860 1.932 5.425
1.860 -1.932 5.425
1.860 1.932 -5.425
Ag As Se
1 2 1
direct
0.000 0.000 0.000
0.294 0.794 0.500
0.706 0.206 0.500
0.500 0.500 0.000
```

Entry 6:
LaCd4Se | SCAN | PBEsol geometry

The mass density comes out at 7.74 g/cm³. The formation energy from raw total energies is -1.35 eV/f.u. Its space group is No. 216. For the density of states at the Fermi level, the calculation gives 2.357 states/eV/cell.

POSCAR file:
```
LaCd4Se
1.0
0.000 4.153 4.153
4.153 0.000 4.153
4.153 4.153 0.000
La Cd Se
1 4 1
direct
0.000 0.000 0.000
0.376 0.376 0.376
0.376 0.376 0.873
0.376 0.873 0.376
0.873 0.376 0.376
0.750 0.750 0.750
```